Mg2Mo | GGA-PBE | optimized geometry

Properties
Energy above the most stable polymorph in this dataset = 257.9 meV per atom
ΔE_f = 0.4802 eV/atom

Cell lengths 8.390, 8.390, 2.708 Å; angles 90.00, 90.00, 120.00 degrees
Sites, in units of the cell vectors:
Mg (0.000, 0.310, 0.000)
Mg (0.000, 0.643, 0.500)
Mg (0.310, 0.000, 0.000)
Mg (0.357, 0.357, 0.500)
Mg (0.643, 0.000, 0.500)
Mg (0.690, 0.690, 0.000)
Mo (0.000, 0.000, 0.500)
Mo (0.333, 0.667, 0.000)
Mo (0.667, 0.333, 0.000)